#one
LiSc6S8: relaxed, PBE.

a b c (Å): 7.331 7.331 7.331
angles (deg): 60.00 60.00 60.00
Positions (direct):
Li 0.000 0.000 0.000
Sc 0.000 0.500 0.500
Sc 0.500 0.000 0.000
Sc 0.500 0.500 0.000
Sc 0.000 0.000 0.500
Sc 0.000 0.500 0.000
Sc 0.500 0.000 0.500
S 0.750 0.750 0.750
S 0.250 0.250 0.250
S 0.751 0.249 0.249
S 0.249 0.751 0.751
S 0.249 0.249 0.751
S 0.751 0.751 0.249
S 0.751 0.249 0.751
S 0.249 0.751 0.249

space-group type	Fm-3m (225)
total magnetization	0.00	μB per atom
DOS at the Fermi energy	4.23	states/eV per cell


#two
LiSc6S8: relaxed, PBE.

a b c (Å): 7.230 7.230 7.230
angles (deg): 97.20 97.20 97.20
Positions (direct):
Li 0.000 0.000 0.000
Sc 0.624 0.453 0.814
Sc 0.453 0.814 0.624
Sc 0.814 0.624 0.453
Sc 0.376 0.547 0.186
Sc 0.547 0.186 0.376
Sc 0.186 0.376 0.547
S 0.781 0.781 0.781
S 0.219 0.219 0.219
S 0.606 0.852 0.319
S 0.852 0.319 0.606
S 0.319 0.606 0.852
S 0.394 0.148 0.681
S 0.148 0.681 0.394
S 0.681 0.394 0.148

space-group type	R-3 (148)
total magnetization	0.06	μB per atom
DOS at the Fermi energy	7.36	states/eV per cell


Winner for stability: #one


#one
LiSe2S: relaxed, PBE.

a b c (Å): 4.726 4.726 4.726
angles (deg): 60.00 60.00 60.00
Positions (direct):
S 0.500 0.500 0.500
Se 0.250 0.250 0.250
Se 0.750 0.750 0.750
Li 0.000 0.000 0.000

space-group type	Fm-3m (225)
total magnetization	0.00	μB per atom
DOS at the Fermi energy	4.17	states/eV per cell


#two
LiSe2S: relaxed, PBE.

a b c (Å): 5.447 5.447 7.802
angles (deg): 69.57 69.57 90.00
Positions (direct):
S 0.000 0.000 0.000
S 0.750 0.250 0.500
Se 0.657 0.125 0.250
Se 0.093 0.625 0.250
Se 0.375 0.343 0.750
Se 0.875 0.907 0.750
Li 0.500 0.500 0.000
Li 0.250 0.750 0.500

space-group type	I-42d (122)
total magnetization	0.00	μB per atom
DOS at the Fermi energy	3.72	states/eV per cell


Winner for stability: #two


#one
Li2SeS: relaxed, PBE.

a b c (Å): 7.107 7.107 5.685
angles (deg): 51.31 51.31 90.00
Positions (direct):
S 0.500 0.500 0.000
S 0.250 0.750 0.500
Se 0.000 0.000 0.000
Se 0.750 0.250 0.500
Li 0.592 0.125 0.250
Li 0.158 0.625 0.250
Li 0.375 0.408 0.750
Li 0.875 0.842 0.750

space-group type	I-42d (122)
total magnetization	0.00	μB per atom
DOS at the Fermi energy	1.13	states/eV per cell


#two
Li2SeS: relaxed, PBE.

a b c (Å): 3.286 3.286 8.204
angles (deg): 78.45 78.45 60.00
Positions (direct):
S 0.500 0.500 0.500
Se 0.000 0.000 0.000
Li 0.106 0.106 0.682
Li 0.894 0.894 0.318

space-group type	R-3m (166)
total magnetization	0.00	μB per atom
DOS at the Fermi energy	1.89	states/eV per cell


Winner for stability: #one


#one
LiSiS3: relaxed, PBE.

a b c (Å): 7.177 6.262 11.012
angles (deg): 102.38 90.00 90.00
Positions (direct):
Li 0.549 0.061 0.751
Li 0.451 0.939 0.249
Li 0.049 0.439 0.749
Li 0.951 0.561 0.251
Si 0.333 0.566 0.444
Si 0.667 0.434 0.556
Si 0.833 0.934 0.056
Si 0.167 0.066 0.944
S 0.081 0.622 0.560
S 0.919 0.378 0.440
S 0.581 0.878 0.940
S 0.419 0.122 0.060
S 0.557 0.755 0.546
S 0.443 0.245 0.454
S 0.057 0.745 0.954
S 0.943 0.255 0.046
S 0.285 0.609 0.267
S 0.715 0.391 0.733
S 0.785 0.891 0.233
S 0.215 0.109 0.767

space-group type	P2_1/c (14)
total magnetization	0.00	μB per atom
DOS at the Fermi energy	0.00	states/eV per cell


#two
LiSiS3: relaxed, PBE.

a b c (Å): 5.796 6.099 6.099
angles (deg): 120.00 90.00 90.00
Positions (direct):
Li 0.250 0.667 0.333
Li 0.750 0.333 0.667
Si 0.750 0.000 0.000
Si 0.250 0.000 0.000
S 0.000 0.709 0.709
S 0.500 0.709 0.000
S 0.500 0.000 0.709
S 0.000 0.000 0.291
S 0.500 0.291 0.291
S 0.000 0.291 0.000

space-group type	P6_322 (182)
total magnetization	0.00	μB per atom
DOS at the Fermi energy	7.35	states/eV per cell


Winner for stability: #one


#one
Li4SiS4: relaxed, PBE.

a b c (Å): 6.584 6.584 7.657
angles (deg): 90.00 90.00 91.86
Positions (direct):
Li 0.168 0.832 0.500
Li 0.168 0.832 0.000
Li 0.575 0.884 0.750
Li 0.116 0.425 0.250
Li 0.884 0.575 0.750
Li 0.425 0.116 0.250
Li 0.832 0.168 0.000
Li 0.832 0.168 0.500
Si 0.335 0.335 0.750
Si 0.665 0.665 0.250
S 0.271 0.651 0.750
S 0.349 0.729 0.250
S 0.203 0.203 0.517
S 0.203 0.203 0.983
S 0.797 0.797 0.483
S 0.797 0.797 0.017
S 0.729 0.349 0.250
S 0.651 0.271 0.750

space-group type	Cmcm (63)
total magnetization	0.00	μB per atom
DOS at the Fermi energy	0.00	states/eV per cell


#two
Li4SiS4: relaxed, PBE.

a b c (Å): 5.859 5.859 6.684
angles (deg): 116.00 116.00 90.00
Positions (direct):
Li 0.500 0.000 0.000
Li 0.000 0.500 0.000
Li 0.288 0.288 0.576
Li 0.712 0.712 0.424
Si 0.000 0.000 0.000
S 0.671 0.671 0.759
S 0.329 0.912 0.241
S 0.088 0.088 0.759
S 0.912 0.329 0.241

space-group type	I-42m (121)
total magnetization	0.00	μB per atom
DOS at the Fermi energy	0.00	states/eV per cell


Winner for stability: #one


#one
LiSm2S: relaxed, PBE.

a b c (Å): 3.774 3.774 10.200
angles (deg): 79.34 79.34 60.00
Positions (direct):
S 0.500 0.500 0.500
Sm 0.111 0.111 0.667
Sm 0.889 0.889 0.333
Li 0.000 0.000 0.000

space-group type	R-3m (166)
total magnetization	0.00	μB per atom
DOS at the Fermi energy	3.04	states/eV per cell


#two
LiSm2S: relaxed, PBE.

a b c (Å): 3.849 3.849 8.981
angles (deg): 77.58 77.58 59.97
Positions (direct):
Li 0.500 0.500 0.500
Sm 0.063 0.063 0.811
Sm 0.270 0.270 0.190
S 0.667 0.667 0.999

space-group type	R3m (160)
total magnetization	0.05	μB per atom
DOS at the Fermi energy	3.02	states/eV per cell


Winner for stability: #two